Crystalline CeTiFe2O6 at its relaxed geometry, computed with PBE+U.

The value obtained for the total energy is -7.87 eV per atom. As for the density: 5511 kg/m3. As for the spin magnetization: 16.005 Bohr magnetons per cell.

The space group is P2_1/c (No. 14) and the conventional cell measures 5.405, 5.555 and 9.577 Å, with angles of 90.00, 123.99 and 90.00 degrees. The asymmetric unit holds Ce at (0.000, 0.000, 0.000), Ti at (0.500, 0.000, 0.500), Fe at (0.241, 0.031, 0.730), O at (0.139, 0.155, 0.456), O at (0.255, 0.699, 0.405) and O at (0.394, 0.109, 0.271).